20
Lattice="7.0487 0.0000 0.0000 0.0000 18.0670 0.0000 0.0000 0.0000 7.7760" Properties=species:S:1:pos:R:3 comment="ScHgI3 GGA-PBE optimized geometry" e_tot_ev_per_atom=-3.209 raw_formation_energy_kj_per_mol_fu=-460 e_above_lowest_polymorph_mev_per_atom=19.7 density_kg_m3=4201 pbc="T T T"
Sc 1.7006 4.5168 1.9440
Sc 1.8238 13.5503 5.8320
Sc 5.2249 4.5168 1.9440
Sc 5.3481 13.5503 5.8320
Hg 0.0000 0.0000 0.0000
Hg 0.0000 9.0335 0.0000
Hg 3.5243 0.0000 3.8880
Hg 3.5243 9.0335 3.8880
I 0.0622 11.5634 4.6585
I 0.0627 13.5503 0.3544
I 0.0622 15.5371 4.6585
I 3.4622 2.5299 0.7705
I 3.4616 4.5168 4.2424
I 3.4622 6.5036 0.7705
I 3.5865 11.5634 7.0055
I 3.5870 13.5503 3.5336
I 3.5865 15.5371 7.0055
I 6.9865 2.5299 3.1175
I 6.9860 4.5168 7.4216
I 6.9865 6.5036 3.1175

=====

16
Lattice="8.2428 0.0000 0.0000 0.0000 12.4721 0.0000 0.0000 0.0000 4.4846" Properties=species:S:1:pos:R:3 comment="Ce5Sb2As GGA-PBE optimized geometry" e_tot_ev_per_atom=-6.195 raw_formation_energy_kj_per_mol_fu=-675 density_kg_m3=7341 pbc="T T T"
Ce 0.0000 0.0000 0.0000
Ce 1.1405 3.6104 0.0000
Ce 1.8037 6.9903 2.2423
Ce 2.3177 0.7543 2.2423
Ce 2.9809 9.8464 0.0000
Ce 4.1214 6.2360 0.0000
Ce 5.2619 2.6256 0.0000
Ce 5.9251 11.7177 2.2423
Ce 6.4391 5.4817 2.2423
Ce 7.1023 8.8617 0.0000
Sb 0.7289 10.2420 2.2423
Sb 3.3925 4.0060 2.2423
Sb 4.8503 8.4661 2.2423
Sb 7.5139 2.2301 2.2423
As 0.0000 6.2360 0.0000
As 4.1214 0.0000 0.0000

=====

6
Lattice="0.0000 3.7042 3.7042 3.7042 0.0000 3.7042 3.7042 3.7042 0.0000" Properties=species:S:1:pos:R:3 comment="BaFeCu4 GGA-PBE optimized geometry" e_tot_ev_per_atom=-4.066 density_kg_m3=7308 ef_mev_per_atom=395 pbc="T T T"
Ba 0.0000 0.0000 0.0000
Fe 1.8521 1.8521 1.8521
Cu 4.6095 2.7988 2.7988
Cu 2.7988 4.6095 2.7988
Cu 2.7988 2.7988 4.6095
Cu 4.6095 4.6095 4.6095

=====

16
Lattice="5.8527 0.0000 0.0000 0.0000 5.8527 0.0000 0.0000 0.0000 11.3915" Properties=species:S:1:pos:R:3 comment="AlTlCu2Se4 GGA-PBE optimized geometry" e_tot_ev_per_atom=-3.958 raw_formation_energy_kj_per_mol_fu=-331 density_kg_m3=5739 pbc="T T T"
Al 0.0000 0.0000 0.0000
Al 2.9263 2.9263 5.6957
Tl 0.0000 0.0000 5.6957
Tl 2.9263 2.9263 0.0000
Cu 0.0000 2.9263 2.8479
Cu 0.0000 2.9263 8.5436
Cu 2.9263 0.0000 2.8479
Cu 2.9263 0.0000 8.5436
Se 1.3207 1.3207 9.8260
Se 1.3207 4.5320 1.5654
Se 1.6056 1.6056 4.1303
Se 1.6056 4.2470 7.2612
Se 4.2470 1.6056 7.2612
Se 4.2470 4.2470 4.1303
Se 4.5320 1.3207 1.5654
Se 4.5320 4.5320 9.8260

=====

8
Lattice="3.8695 0.0000 0.0000 0.0000 3.8695 0.0000 0.0000 0.0000 12.1697" Properties=species:S:1:pos:R:3 comment="KNiAsPd GGA-PBE optimized geometry" e_tot_ev_per_atom=-4.335 density_kg_m3=5087 ef_mev_per_atom=-155 pbc="T T T"
K 0.9674 0.9674 2.7146
K 2.9021 2.9021 9.4551
Ni 0.9674 2.9021 6.0848
Ni 2.9021 0.9674 6.0848
As 0.9674 0.9674 7.3685
As 2.9021 2.9021 4.8012
Pd 0.9674 2.9021 0.0000
Pd 2.9021 0.9674 0.0000

=====

10
Lattice="6.9792 -1.9282 0.0000 6.9792 1.9282 0.0000 -1.1455 0.0000 5.4639" Properties=species:S:1:pos:R:3 comment="Li7Cu3 GGA-PBE optimized geometry" e_tot_ev_per_atom=-2.557 density_kg_m3=2701 ef_mev_per_atom=12 pbc="T T T"
Li 0.0000 0.0000 0.0000
Li 2.0971 0.0000 3.3488
Li 5.3043 0.0000 1.0924
Li 4.7283 0.0000 3.8320
Li 8.0846 0.0000 1.6319
Li 7.5086 0.0000 4.3714
Li 10.7158 0.0000 2.1151
Cu -0.5728 0.0000 2.7319
Cu 2.7873 0.0000 0.4954
Cu 10.0256 0.0000 4.9685

=====

Please write out number 6 again, unchanged.
10
Lattice="6.9792 -1.9282 0.0000 6.9792 1.9282 0.0000 -1.1455 0.0000 5.4639" Properties=species:S:1:pos:R:3 comment="Li7Cu3 GGA-PBE optimized geometry" e_tot_ev_per_atom=-2.557 density_kg_m3=2701 ef_mev_per_atom=12 pbc="T T T"
Li 0.0000 0.0000 0.0000
Li 2.0971 0.0000 3.3488
Li 5.3043 0.0000 1.0924
Li 4.7283 0.0000 3.8320
Li 8.0846 0.0000 1.6319
Li 7.5086 0.0000 4.3714
Li 10.7158 0.0000 2.1151
Cu -0.5728 0.0000 2.7319
Cu 2.7873 0.0000 0.4954
Cu 10.0256 0.0000 4.9685

=====

Repeat the fourth record exactly.
16
Lattice="5.8527 0.0000 0.0000 0.0000 5.8527 0.0000 0.0000 0.0000 11.3915" Properties=species:S:1:pos:R:3 comment="AlTlCu2Se4 GGA-PBE optimized geometry" e_tot_ev_per_atom=-3.958 raw_formation_energy_kj_per_mol_fu=-331 density_kg_m3=5739 pbc="T T T"
Al 0.0000 0.0000 0.0000
Al 2.9263 2.9263 5.6957
Tl 0.0000 0.0000 5.6957
Tl 2.9263 2.9263 0.0000
Cu 0.0000 2.9263 2.8479
Cu 0.0000 2.9263 8.5436
Cu 2.9263 0.0000 2.8479
Cu 2.9263 0.0000 8.5436
Se 1.3207 1.3207 9.8260
Se 1.3207 4.5320 1.5654
Se 1.6056 1.6056 4.1303
Se 1.6056 4.2470 7.2612
Se 4.2470 1.6056 7.2612
Se 4.2470 4.2470 4.1303
Se 4.5320 1.3207 1.5654
Se 4.5320 4.5320 9.8260